No. 1
Density functional theory data (GGA+U) for crystalline Li2MnFeP2O8 at its relaxed geometry.

## Properties
SG = P1 (1)
Relative energy among the computed polymorphs = 69 meV per atom

a = 4.7672 Å, b = 10.4550 Å, c = 6.1313 Å
α = 90.21°, β = 89.86°, γ = 90.33°
Last column: magnetic moment on the atom in μB.
Fractional positions:
P (0.0820, 0.5937, 0.2492)  0.01
P (0.4136, 0.0934, 0.2524)  0.01
P (0.9145, 0.4100, 0.7473)  0.01
P (0.5875, 0.9037, 0.7502)  0.01
O (0.7811, 0.3394, 0.5451)  0.02
O (0.2647, 0.9015, 0.7501)  0.02
O (0.2367, 0.4070, 0.7470)  0.02
O (0.2028, 0.4555, 0.2480)  0.01
O (0.7369, 0.1004, 0.2499)  -0.01
O (0.7183, 0.8328, 0.9513)  0.04
O (0.2970, 0.9540, 0.2477)  0.02
O (0.7190, 0.8341, 0.5467)  0.04
O (0.2164, 0.6641, 0.4511)  0.04
O (0.2167, 0.6640, 0.0478)  0.04
O (0.7130, 0.0413, 0.7525)  0.02
O (0.7906, 0.5472, 0.7482)  0.02
O (0.7811, 0.3391, 0.9478)  0.04
O (0.2799, 0.1590, 0.4574)  0.04
O (0.2773, 0.1641, 0.0536)  0.02
O (0.7596, 0.5966, 0.2493)  0.02
Li (0.4987, 0.5012, 0.9983)  0.00
Li (0.0064, 0.9975, 0.5033)  0.00
Li (0.4981, 0.5014, 0.4992)  0.00
Li (0.0023, 0.9993, 0.0011)  0.00
Mn (0.9694, 0.2817, 0.2527)  2.83
Mn (0.4772, 0.2189, 0.7530)  4.66
Fe (0.5289, 0.7804, 0.2494)  3.78
Fe (0.0302, 0.7185, 0.7499)  3.78



No. 2
Density functional theory data (GGA+U) for crystalline Li4Mn3FeP4O16 at its relaxed geometry.

## Properties
SG = Pm (6)
Relative energy among the computed polymorphs = 70 meV per atom

a = 6.1582 Å, b = 4.7782 Å, c = 10.4771 Å
α = 89.56°, β = 90.00°, γ = 90.00°
Last column: magnetic moment on the atom in μB.
Fractional positions:
O (0.2010, 0.2233, 0.6598)  0.03
O (0.5000, 0.7957, 0.5414)  0.02
O (0.2994, 0.7206, 0.8415)  0.03
O (0.0000, 0.7691, 0.5948)  0.02
O (0.7994, 0.2744, 0.1646)  0.03
O (0.2006, 0.2744, 0.1646)  0.03
O (0.7990, 0.2233, 0.6598)  0.03
O (0.0000, 0.2134, 0.4520)  0.02
O (0.5000, 0.7020, 0.0496)  0.01
O (0.7023, 0.7869, 0.3347)  0.03
O (0.5000, 0.2405, 0.3987)  -0.01
O (0.7006, 0.7206, 0.8415)  0.03
O (0.0000, 0.2876, 0.9573)  0.02
O (0.0000, 0.7308, 0.0977)  0.02
O (0.5000, 0.2636, 0.9060)  0.02
O (0.2977, 0.7869, 0.3347)  0.03
P (0.0000, 0.4089, 0.0947)  0.01
P (0.0000, 0.0910, 0.5900)  0.01
P (0.5000, 0.5848, 0.9109)  0.01
P (0.5000, 0.9173, 0.4034)  0.01
Li (0.7515, 0.5046, 0.4965)  0.00
Li (0.2485, 0.5046, 0.4965)  0.00
Li (0.7512, 0.9953, 0.0043)  0.00
Li (0.2488, 0.9953, 0.0043)  0.00
Mn (0.0000, 0.5254, 0.7812)  4.67
Mn (0.5000, 0.4644, 0.2189)  2.83
Mn (0.5000, 0.0257, 0.7195)  4.67
Fe (0.0000, 0.9699, 0.2810)  3.78



No. 3
Density functional theory data (GGA+U) for crystalline Li5Mn2Fe3P6O24 at its relaxed geometry.

## Properties
SG = P1 (1)

a = 8.5395 Å, b = 8.7171 Å, c = 8.6352 Å
α = 60.85°, β = 61.76°, γ = 60.99°
Last column: magnetic moment on the atom in μB.
Fractional positions:
P (0.9505, 0.2586, 0.5337)  0.02
P (0.7499, 0.4579, 0.0597)  0.02
P (0.0523, 0.7513, 0.4545)  0.02
P (0.5537, 0.9670, 0.2580)  0.02
P (0.4413, 0.0492, 0.7563)  0.02
P (0.2609, 0.5338, 0.9573)  0.02
O (0.6843, 0.5220, 0.8939)  0.11
O (0.2599, 0.0534, 0.9305)  0.08
O (0.0997, 0.3508, 0.4444)  0.08
O (0.9550, 0.2000, 0.3882)  0.07
O (0.5909, 0.7592, 0.3966)  0.07
O (0.5374, 0.1000, 0.3376)  0.07
O (0.3951, 0.5878, 0.7486)  0.07
O (0.7330, 0.9649, 0.0827)  0.02
O (0.3676, 0.4508, 0.0947)  0.09
O (0.0998, 0.7197, 0.9761)  0.03
O (0.3728, 0.0244, 0.2174)  0.09
O (0.4646, 0.8946, 0.6981)  0.10
O (0.0470, 0.7970, 0.6062)  0.01
O (0.4050, 0.2465, 0.6023)  0.08
O (0.1923, 0.3885, 0.9798)  0.11
O (0.0340, 0.9270, 0.2729)  0.07
O (0.5980, 0.4149, 0.2586)  0.08
O (0.7439, 0.3946, 0.5959)  0.06
O (0.6139, 0.0129, 0.7965)  0.01
O (0.8111, 0.6007, 0.0468)  0.02
O (0.9794, 0.0922, 0.7159)  0.02
O (0.2468, 0.6002, 0.4036)  0.08
O (0.8838, 0.6915, 0.5123)  0.10
O (0.9051, 0.2605, 0.0661)  0.08
Fe (0.6415, 0.6546, 0.6564)  4.38
Fe (0.3537, 0.3549, 0.3530)  4.39
Fe (0.1451, 0.1540, 0.1441)  4.39
Li (0.8398, 0.8109, 0.8310)  0.00
Li (0.1879, 0.8546, 0.6777)  0.00
Li (0.7658, 0.1329, 0.3505)  0.00
Li (0.6829, 0.1586, 0.8458)  0.00
Li (0.8595, 0.6777, 0.1831)  0.00
Mn (0.0106, 0.9982, 0.9940)  4.66
Mn (0.4842, 0.5088, 0.5021)  4.68



No. 4
Density functional theory data (GGA+U) for crystalline Li4Mn3Fe3Sb2O16 at its relaxed geometry.

## Properties
SG = Cm (8)

a = 6.0188 Å, b = 6.0188 Å, c = 9.7982 Å
α = 88.85°, β = 88.85°, γ = 59.35°
Last column: magnetic moment on the atom in μB.
Fractional positions:
Li (0.3357, 0.3357, 0.5961)  0.01
Li (0.6628, 0.6628, 0.0941)  0.01
Li (0.9992, 0.9992, 0.0118)  0.00
Li (0.0046, 0.0046, 0.5125)  0.00
O (0.9963, 0.9963, 0.2004)  0.01
O (0.0290, 0.4729, 0.1494)  0.15
O (0.1717, 0.6654, 0.9081)  0.09
O (0.9949, 0.9949, 0.6998)  0.13
O (0.3407, 0.8404, 0.4067)  0.11
O (0.5125, 0.9655, 0.6512)  0.11
O (0.5188, 0.5188, 0.6546)  0.18
O (0.1673, 0.1673, 0.9012)  0.15
O (0.4771, 0.4771, 0.1537)  -0.02
O (0.6654, 0.1717, 0.9081)  0.09
O (0.9655, 0.5125, 0.6512)  0.11
O (0.4729, 0.0290, 0.1494)  0.15
O (0.8404, 0.3407, 0.4067)  0.11
O (0.8389, 0.8389, 0.4090)  0.00
O (0.3365, 0.3365, 0.3864)  0.00
O (0.6699, 0.6699, 0.8892)  0.15
Mn (0.1683, 0.6609, 0.2884)  3.91
Mn (0.6609, 0.1683, 0.2884)  3.91
Mn (0.8303, 0.8303, 0.7897)  3.90
Fe (0.3396, 0.8313, 0.7860)  4.34
Fe (0.1693, 0.1693, 0.2848)  4.34
Fe (0.8313, 0.3396, 0.7860)  4.34
Sb (0.6688, 0.6688, 0.5149)  0.03
Sb (0.3295, 0.3295, 0.0143)  0.03



No. 5
Density functional theory data (GGA+U) for crystalline Li4Mn2Fe3Sb3O16 at its relaxed geometry.

## Properties
SG = Cm (8)

a = 6.1426 Å, b = 6.1426 Å, c = 9.8267 Å
α = 89.30°, β = 89.30°, γ = 59.47°
Last column: magnetic moment on the atom in μB.
Fractional positions:
O (0.5080, 0.5080, 0.6730)  0.01
O (0.8515, 0.8515, 0.3889)  0.25
O (0.1475, 0.1475, 0.9068)  0.01
O (0.0111, 0.0111, 0.1807)  0.15
O (0.0502, 0.4818, 0.1508)  0.08
O (0.4821, 0.4821, 0.1564)  0.18
O (0.9630, 0.5040, 0.6780)  0.01
O (0.3337, 0.3337, 0.3915)  0.14
O (0.4818, 0.0502, 0.1508)  0.08
O (0.6713, 0.1656, 0.9016)  0.00
O (0.3230, 0.8549, 0.3890)  0.11
O (0.1656, 0.6713, 0.9016)  0.00
O (0.5040, 0.9630, 0.6780)  0.01
O (0.0053, 0.0053, 0.6840)  -0.02
O (0.6486, 0.6486, 0.9077)  -0.02
O (0.8549, 0.3230, 0.3890)  0.11
Sb (0.3332, 0.8258, 0.7907)  0.00
Sb (0.8258, 0.3332, 0.7907)  0.00
Sb (0.1754, 0.1754, 0.2785)  0.01
Li (0.0002, 0.0002, 0.4971)  0.00
Li (0.9718, 0.9718, 0.0070)  0.00
Li (0.6655, 0.6655, 0.1105)  0.00
Li (0.3230, 0.3230, 0.6112)  0.00
Fe (0.1748, 0.6726, 0.2833)  4.34
Fe (0.8248, 0.8248, 0.7900)  0.05
Fe (0.6726, 0.1748, 0.2833)  4.34
Mn (0.3477, 0.3477, 0.0216)  0.01
Mn (0.6812, 0.6812, 0.5012)  4.67



No. 6
Density functional theory data (GGA+U) for crystalline Li4Mn3V2Fe3O16 at its relaxed geometry.

## Properties
SG = P1 (1)

a = 5.8731 Å, b = 5.9003 Å, c = 9.5160 Å
α = 90.97°, β = 89.91°, γ = 119.09°
Last column: magnetic moment on the atom in μB.
Fractional positions:
O (0.4736, 0.5227, 0.6493)  0.17
O (0.1493, 0.7952, 0.4078)  -0.05
O (0.6647, 0.8228, 0.4014)  0.03
O (0.0038, 0.9968, 0.6932)  0.14
O (0.5154, 0.0499, 0.1563)  0.06
O (0.0002, 0.9851, 0.1950)  0.03
O (0.0366, 0.5291, 0.6615)  0.02
O (0.4675, 0.9604, 0.6578)  0.03
O (0.6634, 0.3437, 0.3920)  0.03
O (0.8337, 0.1770, 0.9089)  0.07
O (0.1643, 0.3202, 0.4067)  0.03
O (0.3362, 0.1668, 0.9019)  0.04
O (0.9640, 0.4831, 0.1617)  0.03
O (0.3335, 0.6772, 0.8946)  0.15
O (0.5497, 0.5113, 0.1488)  -0.05
O (0.8449, 0.6711, 0.8987)  0.05
Fe (0.8251, 0.1619, 0.2883)  4.34
Fe (0.6617, 0.8291, 0.7849)  4.33
Fe (0.1737, 0.3418, 0.7865)  4.33
Mn (0.1710, 0.8305, 0.7861)  3.25
Mn (0.3370, 0.1743, 0.2868)  3.88
Mn (0.8282, 0.6545, 0.2841)  3.25
Li (0.0046, 0.9973, 0.0063)  0.00
Li (0.6621, 0.3371, 0.6026)  0.01
Li (0.9986, 0.9865, 0.5059)  0.00
Li (0.3358, 0.6817, 0.1020)  0.01
V (0.3271, 0.6606, 0.5112)  1.13
V (0.6743, 0.3330, 0.0119)  1.16



Record-wise uncorrected energy values, in eV per atom: -6.94, -7.02, -6.92, -6.48, -6.17, -6.77
Record-wise V values, in Å³/atom: 10.9, 11.0, 11.7, 10.9, 11.4, 10.3